The following is a DFT calculation (PBE with a Hubbard U) of a relaxed structure of Rb2MoSO6.

As for the space group: I4/mmm, No. 139. Its crystal system is tetragonal. Its density of states at the Fermi level is 1.23 states/eV/cell. The calculation puts the total energy at -54.68 eV/cell.

Lattice parameters (Å, degrees): 6.6712 6.6712 6.6712 132.41 132.41 69.58
With the nearest neighbours (Å) after each atom.
Positions (direct):
Rb  0.2500  0.7500  0.5000  4 O 2.83
Rb  0.7500  0.2500  0.5000  4 O 2.83
Mo  0.0000  0.0000  0.0000  6 O 1.85-2.02
S  0.5000  0.5000  0.0000  4 O 1.78
O  0.1690  0.1690  0.0000  1 Mo 1.85
O  0.2657  0.2657  0.5315  1 S 1.78
O  0.2657  0.7343  0.0000  1 S 1.78
O  0.7343  0.2657  0.0000  1 S 1.78
O  0.7343  0.7343  0.4685  1 S 1.78
O  0.8310  0.8310  0.0000  1 Mo 1.85